Record 1
The following is a PBE calculation of an optimized crystal structure of Pm3SmHg, from the Alexandria database.

For the density of states at the Fermi level, the calculation gives 1.232 states/eV per atom. Its formation energy from the elements is -85 meV/atom. The relative energy among the computed polymorphs is 5.7 meV/atom.

Lattice parameters (Å, degrees): 22.336 3.631 8.255 90.00 105.49 90.00
Space group C2/m (No. 12)
Symmetry-distinct sites (fractional):
1 Pm 0.014 0.000 0.244
2 Pm 0.116 0.500 0.035
3 Pm 0.173 0.000 0.454
4 Sm 0.240 0.500 0.823
5 Hg 0.082 0.500 0.612


Record 2
The following is a PBE calculation of an optimized crystal structure of K3TmNp2S6, from the Alexandria database.

For the density of states at the Fermi level, the calculation gives 1.835 states/eV per atom. As for the energy relative to the elements, uncorrected: -18.537 eV per formula unit.

Lattice parameters (Å, degrees): 7.037 12.190 7.727 90.00 107.67 90.00
Space group C2/m (No. 12)
Symmetry-distinct sites (fractional):
1 K 0.000 0.000 0.000
2 K 0.000 0.333 0.000
3 Tm 0.000 0.500 0.500
4 Np 0.000 0.167 0.500
5 S 0.231 0.335 0.701
6 S 0.238 0.000 0.701


Record 3
The following is a PBE calculation of an optimized crystal structure of La2EuOs, from the Alexandria database.

For the density of states at the Fermi level, the calculation gives 1.018 states/eV per atom. Its formation energy from the elements is 6 meV/atom. The relative energy among the computed polymorphs is 31.1 meV/atom.

Lattice parameters (Å, degrees): 3.564 3.564 10.203 90.00 90.00 90.00
Space group P4/mmm (No. 123)
Symmetry-distinct sites (fractional):
1 La 0.000 0.000 0.169
2 Eu 0.500 0.500 0.500
3 Os 0.500 0.500 0.000


Record 4
The following is a PBE calculation of an optimized crystal structure of MnCo2HRu, from the Alexandria database.

For the density of states at the Fermi level, the calculation gives 1.386 states/eV per atom. The relative energy among the computed polymorphs is 68.6 meV/atom.

Lattice parameters (Å, degrees): 3.580 3.580 3.746 90.00 90.00 90.00
Space group P4/mmm (No. 123)
Symmetry-distinct sites (fractional):
1 Mn 0.000 0.000 0.000
2 Co 0.000 0.500 0.500
3 H 0.500 0.500 0.500
4 Ru 0.500 0.500 0.000


Record 5
The following is a PBE calculation of an optimized crystal structure of MgFe2HgPb, from the Alexandria database.

For the density of states at the Fermi level, the calculation gives 2.230 states/eV per atom. Its formation energy from the elements is 1569 meV/atom.

Lattice parameters (Å, degrees): 4.851 4.851 5.581 90.00 90.00 90.00
Space group P4/mmm (No. 123)
Symmetry-distinct sites (fractional):
1 Mg 0.000 0.000 0.000
2 Fe 0.000 0.500 0.500
3 Hg 0.500 0.500 0.000
4 Pb 0.500 0.500 0.500


What did the fourth record say?
The following is a PBE calculation of an optimized crystal structure of MnCo2HRu, from the Alexandria database.

For the density of states at the Fermi level, the calculation gives 1.386 states/eV per atom. The relative energy among the computed polymorphs is 68.6 meV/atom.

Lattice parameters (Å, degrees): 3.580 3.580 3.746 90.00 90.00 90.00
Space group P4/mmm (No. 123)
Symmetry-distinct sites (fractional):
1 Mn 0.000 0.000 0.000
2 Co 0.000 0.500 0.500
3 H 0.500 0.500 0.500
4 Ru 0.500 0.500 0.000